Entry w
Below is a geometry-optimized Dy5ErTh3 structure, with properties calculated at the PBE level. Values from VASP.

## Properties
SG = C2/m, No. 12
total moment = 0.0 μB per cell

```
&SYSTEM
  ibrav = 0, nat = 18, ntyp = 3
/
ATOMIC_SPECIES
Dy 162.50 Dy.upf
Er 167.26 Er.upf
Th 232.04 Th.upf
ATOMIC_POSITIONS crystal
Dy 0.940 0.329 0.227
Dy 0.328 0.672 0.000
Dy 0.744 0.744 0.023
Dy 0.556 0.556 0.377
Dy 0.444 0.444 0.623
Dy 0.256 0.256 0.977
Dy 0.329 0.940 0.227
Dy 0.672 0.328 0.000
Dy 0.060 0.671 0.773
Dy 0.671 0.060 0.773
Er 0.138 0.138 0.734
Er 0.862 0.862 0.266
Th 0.623 0.623 0.783
Th 0.739 0.739 0.542
Th 0.000 0.000 0.000
Th 0.000 0.000 0.500
Th 0.377 0.377 0.217
Th 0.261 0.261 0.458
CELL_PARAMETERS angstrom
-0.969 -6.873 -2.840
1.687 -5.497 4.815
-11.437 -1.386 4.217
```

***

Entry x
Below is a geometry-optimized Dy5ErTh3 structure, with properties calculated at the PBE level. Values from VASP.

## Properties
SG = C2/c, No. 15
total moment = 0.0 μB per cell

```
&SYSTEM
  ibrav = 0, nat = 18, ntyp = 3
/
ATOMIC_SPECIES
Dy 162.50 Dy.upf
Er 167.26 Er.upf
Th 232.04 Th.upf
ATOMIC_POSITIONS crystal
Dy 0.266 0.000 0.750
Dy 0.827 0.655 0.101
Dy 0.613 0.226 0.036
Dy 0.173 0.345 0.899
Dy 0.387 0.774 0.464
Dy 0.734 0.000 0.250
Dy 0.827 0.655 0.601
Dy 0.173 0.345 0.399
Dy 0.613 0.226 0.536
Dy 0.387 0.774 0.964
Er 0.738 0.000 0.750
Er 0.262 0.000 0.250
Th 0.000 0.000 0.000
Th 0.753 0.507 0.324
Th 0.000 0.000 0.500
Th 0.247 0.493 0.676
Th 0.755 0.507 0.824
Th 0.245 0.493 0.176
CELL_PARAMETERS angstrom
6.188 0.000 0.000
-3.094 7.554 -2.642
0.000 0.399 12.283
```

***

Relative energies with respect to the most stable structure, expressed in meV/atom: entry w 326; entry x 0.

***

Entry w
Below is a geometry-optimized Dy4Er2Th structure, with properties calculated at the PBE level. Values from VASP.

## Properties
SG = R-3m, No. 166
total moment = 0.6 μB per cell

```
&SYSTEM
  ibrav = 0, nat = 7, ntyp = 3
/
ATOMIC_SPECIES
Dy 162.50 Dy.upf
Er 167.26 Er.upf
Th 232.04 Th.upf
ATOMIC_POSITIONS crystal
Dy 0.711 0.711 0.866
Dy 0.289 0.289 0.134
Dy 0.143 0.143 0.570
Dy 0.857 0.857 0.430
Er 0.235 0.235 0.296
Er 0.765 0.765 0.704
Th 0.000 0.000 0.000
CELL_PARAMETERS angstrom
3.530 0.000 0.000
1.765 3.057 0.000
1.765 1.019 20.763
```

***

Entry x
Below is a geometry-optimized Dy4Er2Th structure, with properties calculated at the PBE level. Values from VASP.

## Properties
SG = Cm, No. 8
total moment = 0.0 μB per cell

```
&SYSTEM
  ibrav = 0, nat = 7, ntyp = 3
/
ATOMIC_SPECIES
Er 167.26 Er.upf
Th 232.04 Th.upf
Dy 162.50 Dy.upf
ATOMIC_POSITIONS crystal
Er 0.620 0.240 0.096
Er 0.714 0.429 0.379
Th 0.809 0.617 0.667
Dy 0.906 0.812 0.955
Dy 0.428 0.855 0.521
Dy 0.001 0.002 0.237
Dy 0.523 0.047 0.812
CELL_PARAMETERS angstrom
3.578 0.000 0.000
-1.789 3.085 -0.262
0.000 -0.381 20.044
```

***

Relative energies with respect to the most stable structure, expressed in meV/atom: entry w 68; entry x 0.

***

Entry w
Below is a geometry-optimized Dy3Er2Th structure, with properties calculated at the PBE level. Values from VASP.

## Properties
SG = C2/m, No. 12
total moment = 0.0 μB per cell

```
&SYSTEM
  ibrav = 0, nat = 12, ntyp = 3
/
ATOMIC_SPECIES
Dy 162.50 Dy.upf
Er 167.26 Er.upf
Th 232.04 Th.upf
ATOMIC_POSITIONS crystal
Dy 0.020 0.290 0.670
Dy 0.980 0.710 0.330
Dy 0.729 0.458 0.084
Dy 0.271 0.542 0.916
Dy 0.799 0.893 0.510
Dy 0.201 0.107 0.490
Er 0.886 0.296 0.932
Er 0.114 0.704 0.068
Er 0.633 0.103 0.631
Er 0.367 0.897 0.369
Th 0.451 0.299 0.799
Th 0.549 0.701 0.201
CELL_PARAMETERS angstrom
-2.073 -5.072 -0.725
1.731 -4.772 7.368
-3.413 -3.867 15.747
```

***

Entry x
Below is a geometry-optimized Dy3Er2Th structure, with properties calculated at the PBE level. Values from VASP.

## Properties
SG = Cmc2_1, No. 36
total moment = 0.0 μB per cell

```
&SYSTEM
  ibrav = 0, nat = 12, ntyp = 3
/
ATOMIC_SPECIES
Dy 162.50 Dy.upf
Er 167.26 Er.upf
Th 232.04 Th.upf
ATOMIC_POSITIONS crystal
Dy 0.076 0.752 0.388
Dy 0.576 0.612 0.248
Dy 0.076 0.388 0.752
Dy 0.576 0.248 0.612
Dy 0.339 0.912 0.912
Dy 0.839 0.088 0.088
Er 0.554 0.868 0.506
Er 0.054 0.494 0.132
Er 0.554 0.506 0.868
Er 0.054 0.132 0.494
Th 0.858 0.830 0.830
Th 0.358 0.170 0.170
CELL_PARAMETERS angstrom
-3.906 3.600 3.533
5.314 -0.151 6.028
5.000 6.238 -0.828
```

***

Relative energies with respect to the most stable structure, expressed in meV/atom: entry w 0; entry x 143.

***

Entry w
Below is a geometry-optimized DyEr6Th3 structure, with properties calculated at the PBE level. Values from VASP.

## Properties
SG = R-3, No. 148
total moment = 0.0 μB per cell

```
&SYSTEM
  ibrav = 0, nat = 10, ntyp = 3
/
ATOMIC_SPECIES
Dy 162.50 Dy.upf
Er 167.26 Er.upf
Th 232.04 Th.upf
ATOMIC_POSITIONS crystal
Dy 0.850 0.850 0.449
Er 0.930 0.598 0.205
Er 0.266 0.930 0.205
Er 0.598 0.266 0.205
Er 0.101 0.434 0.695
Er 0.769 0.101 0.695
Er 0.434 0.769 0.695
Th 0.350 0.350 0.949
Th 0.602 0.602 0.195
Th 0.099 0.099 0.703
CELL_PARAMETERS angstrom
-8.440 4.474 2.138
-2.418 1.687 9.335
-1.796 5.572 3.661
```

***

Entry x
Below is a geometry-optimized DyEr6Th3 structure, with properties calculated at the PBE level. Values from VASP.

## Properties
SG = P2_1/m, No. 11
total moment = 0.0 μB per cell

```
&SYSTEM
  ibrav = 0, nat = 20, ntyp = 3
/
ATOMIC_SPECIES
Dy 162.50 Dy.upf
Er 167.26 Er.upf
Th 232.04 Th.upf
ATOMIC_POSITIONS crystal
Dy 0.750 0.116 0.697
Dy 0.250 0.884 0.303
Er 0.750 0.603 0.710
Er 0.250 0.397 0.290
Er 0.750 0.857 0.097
Er 0.250 0.143 0.903
Er 0.750 0.386 0.101
Er 0.250 0.614 0.899
Er 0.750 0.653 0.309
Er 0.250 0.347 0.691
Er 0.750 0.127 0.487
Er 0.250 0.873 0.513
Er 0.750 0.885 0.724
Er 0.250 0.115 0.276
Th 0.750 0.388 0.895
Th 0.250 0.612 0.105
Th 0.750 0.619 0.504
Th 0.250 0.381 0.496
Th 0.750 0.125 0.090
Th 0.250 0.875 0.910
CELL_PARAMETERS angstrom
3.496 0.000 0.000
0.000 12.895 -1.951
0.000 -6.273 14.938
```

***

Relative energies with respect to the most stable structure, expressed in meV/atom: entry w 285; entry x 0.

***

Entry w
Below is a geometry-optimized Dy9ErTh2 structure, with properties calculated at the PBE level. Values from VASP.

## Properties
SG = P6/mmm, No. 191
total moment = 0.0 μB per cell

```
&SYSTEM
  ibrav = 0, nat = 12, ntyp = 3
/
ATOMIC_SPECIES
Dy 162.50 Dy.upf
Er 167.26 Er.upf
Th 232.04 Th.upf
ATOMIC_POSITIONS crystal
Dy 0.000 0.000 0.500
Dy 0.000 0.500 0.500
Dy 0.000 0.500 0.000
Dy 0.500 0.346 0.173
Dy 0.500 0.173 0.827
Dy 0.500 0.173 0.346
Dy 0.500 0.827 0.654
Dy 0.500 0.827 0.173
Dy 0.500 0.654 0.827
Er 0.000 0.000 0.000
Th 0.000 0.333 0.667
Th 0.000 0.667 0.333
CELL_PARAMETERS angstrom
-2.621 -0.874 2.089
-4.940 -5.564 -8.526
7.240 -5.386 6.829
```

***

Entry x
Below is a geometry-optimized Dy9ErTh2 structure, with properties calculated at the PBE level. Values from VASP.

## Properties
SG = P4/mmm, No. 123
total moment = 0.0 μB per cell

```
&SYSTEM
  ibrav = 0, nat = 12, ntyp = 3
/
ATOMIC_SPECIES
Dy 162.50 Dy.upf
Er 167.26 Er.upf
Th 232.04 Th.upf
ATOMIC_POSITIONS crystal
Dy 0.500 0.500 0.000
Dy 0.500 0.500 0.333
Dy 0.500 0.500 0.667
Dy 0.500 0.000 0.168
Dy 0.500 0.000 0.500
Dy 0.500 0.000 0.832
Dy 0.000 0.500 0.168
Dy 0.000 0.500 0.500
Dy 0.000 0.500 0.832
Er 0.000 0.000 0.000
Th 0.000 0.000 0.334
Th 0.000 0.000 0.666
CELL_PARAMETERS angstrom
5.018 0.000 0.000
0.000 5.018 0.000
0.000 0.000 14.996
```

***

Relative energies with respect to the most stable structure, expressed in meV/atom: entry w 76; entry x 0.

***

Entry w
Below is a geometry-optimized Dy12Er7Th structure, with properties calculated at the PBE level. Values from VASP.

## Properties
SG = R-3, No. 148
total moment = 0.0 μB per cell

```
&SYSTEM
  ibrav = 0, nat = 20, ntyp = 3
/
ATOMIC_SPECIES
Dy 162.50 Dy.upf
Er 167.26 Er.upf
Th 232.04 Th.upf
ATOMIC_POSITIONS crystal
Dy 0.865 0.281 0.739
Dy 0.719 0.261 0.135
Dy 0.619 0.146 0.502
Dy 0.854 0.498 0.381
Dy 0.261 0.135 0.719
Dy 0.498 0.381 0.854
Dy 0.502 0.619 0.146
Dy 0.739 0.865 0.281
Dy 0.146 0.502 0.619
Dy 0.381 0.854 0.498
Dy 0.281 0.739 0.865
Dy 0.135 0.719 0.261
Er 0.846 0.620 0.949
Er 0.380 0.051 0.154
Er 0.051 0.154 0.380
Er 0.500 0.500 0.500
Er 0.949 0.846 0.620
Er 0.620 0.949 0.846
Er 0.154 0.380 0.051
Th 0.000 0.000 0.000
CELL_PARAMETERS angstrom
8.416 1.097 1.647
-1.287 8.390 1.647
-1.287 -1.712 8.376
```

***

Entry x
Below is a geometry-optimized Dy12Er7Th structure, with properties calculated at the PBE level. Values from VASP.

## Properties
SG = Im-3m, No. 229
total moment = 0.0 μB per cell

```
&SYSTEM
  ibrav = 0, nat = 20, ntyp = 3
/
ATOMIC_SPECIES
Dy 162.50 Dy.upf
Er 167.26 Er.upf
Th 232.04 Th.upf
ATOMIC_POSITIONS crystal
Dy 0.508 0.754 0.754
Dy 0.001 0.754 0.246
Dy 0.492 0.246 0.246
Dy 0.999 0.246 0.754
Dy 0.754 0.999 0.246
Dy 0.754 0.508 0.754
Dy 0.246 0.001 0.754
Dy 0.246 0.492 0.246
Dy 0.754 0.754 0.508
Dy 0.246 0.246 0.492
Dy 0.754 0.246 0.001
Dy 0.246 0.754 0.999
Er 0.500 0.500 0.000
Er 0.000 0.500 0.500
Er 0.500 0.000 0.500
Er 0.500 0.500 0.500
Er 0.000 0.000 0.500
Er 0.500 0.000 0.000
Er 0.000 0.500 0.000
Th 0.000 0.000 0.000
CELL_PARAMETERS angstrom
-8.607 -2.002 -4.086
6.589 1.676 -6.968
2.859 -7.567 5.418
```

***

Relative energies with respect to the most stable structure, expressed in meV/atom: entry w 0; entry x 519.

***

Entry w
Below is a geometry-optimized Dy4Er5Th2 structure, with properties calculated at the PBE level. Values from VASP.

## Properties
SG = P-1, No. 2
total moment = 0.0 μB per cell

```
&SYSTEM
  ibrav = 0, nat = 11, ntyp = 3
/
ATOMIC_SPECIES
Dy 162.50 Dy.upf
Er 167.26 Er.upf
Th 232.04 Th.upf
ATOMIC_POSITIONS crystal
Dy 0.250 0.204 0.731
Dy 0.213 0.739 0.915
Dy 0.750 0.796 0.269
Dy 0.787 0.261 0.085
Er 0.744 0.478 0.820
Er 0.256 0.522 0.180
Er 0.766 0.913 0.641
Er 0.500 0.000 0.000
Er 0.234 0.087 0.359
Th 0.752 0.363 0.455
Th 0.248 0.637 0.545
CELL_PARAMETERS angstrom
3.505 0.122 -0.309
-0.336 11.105 -0.868
0.722 0.563 8.757
```

***

Entry x
Below is a geometry-optimized Dy4Er5Th2 structure, with properties calculated at the PBE level. Values from VASP.

## Properties
SG = Immm, No. 71
total moment = 0.0 μB per cell

```
&SYSTEM
  ibrav = 0, nat = 11, ntyp = 3
/
ATOMIC_SPECIES
Dy 162.50 Dy.upf
Er 167.26 Er.upf
Th 232.04 Th.upf
ATOMIC_POSITIONS crystal
Dy 0.000 0.320 0.000
Dy 0.605 0.605 0.209
Dy 0.000 0.680 0.000
Dy 0.395 0.395 0.791
Er 0.803 0.060 0.607
Er 0.803 0.547 0.607
Er 0.197 0.453 0.393
Er 0.197 0.940 0.393
Er 0.500 0.000 0.000
Th 0.898 0.898 0.796
Th 0.102 0.102 0.204
CELL_PARAMETERS angstrom
3.462 0.000 0.000
0.000 7.585 0.000
-1.731 -3.792 14.007
```

***

Relative energies with respect to the most stable structure, expressed in meV/atom: entry w 0; entry x 372.

***

Entry w
Below is a geometry-optimized Dy3Er5Th3 structure, with properties calculated at the PBE level. Values from VASP.

## Properties
SG = P-62m, No. 189
total moment = 0.0 μB per cell

```
&SYSTEM
  ibrav = 0, nat = 11, ntyp = 3
/
ATOMIC_SPECIES
Dy 162.50 Dy.upf
Er 167.26 Er.upf
Th 232.04 Th.upf
ATOMIC_POSITIONS crystal
Dy 0.000 0.573 0.573
Dy 0.000 0.427 0.000
Dy 0.000 0.000 0.427
Er 0.500 0.333 0.667
Er 0.500 0.667 0.333
Er 0.500 0.370 0.370
Er 0.500 0.000 0.630
Er 0.500 0.630 0.000
Th 0.500 0.746 0.746
Th 0.500 0.000 0.254
Th 0.500 0.254 0.000
CELL_PARAMETERS angstrom
5.315 0.000 0.000
0.000 9.643 0.000
0.000 -4.822 8.351
```

***

Entry x
Below is a geometry-optimized Dy3Er5Th3 structure, with properties calculated at the PBE level. Values from VASP.

## Properties
SG = P-62m, No. 189
total moment = 0.0 μB per cell

```
&SYSTEM
  ibrav = 0, nat = 11, ntyp = 3
/
ATOMIC_SPECIES
Dy 162.50 Dy.upf
Er 167.26 Er.upf
Th 232.04 Th.upf
ATOMIC_POSITIONS crystal
Dy 0.500 0.839 0.000
Dy 0.500 0.161 0.161
Dy 0.500 0.000 0.839
Er 0.500 0.667 0.333
Er 0.500 0.333 0.667
Er 0.500 0.341 0.000
Er 0.500 0.659 0.659
Er 0.500 0.000 0.341
Th 0.000 0.596 0.000
Th 0.000 0.000 0.596
Th 0.000 0.404 0.404
CELL_PARAMETERS angstrom
-2.332 -0.213 2.493
-8.062 -0.627 -7.595
4.837 -9.260 3.733
```

***

Relative energies with respect to the most stable structure, expressed in meV/atom: entry w 489; entry x 0.

***

Entry w
Below is a geometry-optimized Dy7Er12Th structure, with properties calculated at the PBE level. Values from VASP.

## Properties
SG = R-3, No. 148
total moment = 0.0 μB per cell

```
&SYSTEM
  ibrav = 0, nat = 20, ntyp = 3
/
ATOMIC_SPECIES
Dy 162.50 Dy.upf
Er 167.26 Er.upf
Th 232.04 Th.upf
ATOMIC_POSITIONS crystal
Dy 0.844 0.619 0.952
Dy 0.381 0.048 0.156
Dy 0.048 0.156 0.381
Dy 0.500 0.500 0.500
Dy 0.952 0.844 0.619
Dy 0.619 0.952 0.844
Dy 0.156 0.381 0.048
Er 0.864 0.284 0.742
Er 0.716 0.258 0.136
Er 0.619 0.146 0.502
Er 0.854 0.498 0.381
Er 0.258 0.136 0.716
Er 0.498 0.381 0.854
Er 0.502 0.619 0.146
Er 0.742 0.864 0.284
Er 0.146 0.502 0.619
Er 0.381 0.854 0.498
Er 0.284 0.742 0.864
Er 0.136 0.716 0.258
Th 0.000 0.000 0.000
CELL_PARAMETERS angstrom
8.406 1.103 1.656
-1.277 8.381 1.656
-1.277 -1.700 8.372
```

***

Entry x
Below is a geometry-optimized Dy7Er12Th structure, with properties calculated at the PBE level. Values from VASP.

## Properties
SG = Im-3m, No. 229
total moment = 0.0 μB per cell

```
&SYSTEM
  ibrav = 0, nat = 20, ntyp = 3
/
ATOMIC_SPECIES
Dy 162.50 Dy.upf
Er 167.26 Er.upf
Th 232.04 Th.upf
ATOMIC_POSITIONS crystal
Dy 0.500 0.500 0.000
Dy 0.000 0.500 0.500
Dy 0.500 0.000 0.500
Dy 0.500 0.500 0.500
Dy 0.000 0.000 0.500
Dy 0.500 0.000 0.000
Dy 0.000 0.500 0.000
Er 0.508 0.754 0.754
Er 0.000 0.754 0.246
Er 0.492 0.246 0.246
Er 0.000 0.246 0.754
Er 0.754 0.000 0.246
Er 0.754 0.508 0.754
Er 0.246 0.000 0.754
Er 0.246 0.492 0.246
Er 0.754 0.754 0.508
Er 0.246 0.246 0.492
Er 0.754 0.246 0.000
Er 0.246 0.754 0.000
Th 0.000 0.000 0.000
CELL_PARAMETERS angstrom
-7.747 -5.746 -0.629
4.510 0.275 -8.545
6.033 -3.450 6.718
```

***

Relative energies with respect to the most stable structure, expressed in meV/atom: entry w 0; entry x 520.